# PaCuP3

A relaxed PaCuP3 crystal (PBE, Alexandria).

Lattice parameters (Å, degrees): 3.9608 6.6289 8.2162 102.47 79.36 120.16
Atoms (fractional coordinates):
Pa: 0.4847 0.7739 0.6526
Pa: 0.5153 0.2261 0.3474
Cu: 0.4325 0.2982 0.7680
Cu: 0.5675 0.7018 0.2320
P: 0.9616 0.2685 0.5953
P: 0.6896 0.4059 0.0447
P: 0.9560 0.0590 0.1324
P: 0.0384 0.7315 0.4047
P: 0.0440 0.9410 0.8676
P: 0.3104 0.5941 0.9553

## Properties
formation enthalpy at 0 K: -0.456 eV/atom
Fermi-level density of states: 6.40 states/eV/cell
electronic total energy: -6.420 eV per atom
theoretical density: 7.1 Mg/m³